(1)
Entry from Alexandria: crystalline Tl2FeP at its relaxed geometry (PBE).

Structure (CIF):
```
data_Tl2FeP
_space_group_name_H-M_alt 'F -4 3 m'
_space_group_IT_number 216
_space_group_name_Hall 'F -4 2 3'
_cell_length_a 7.0461
_cell_length_b 7.0461
_cell_length_c 7.0461
_cell_angle_alpha 90.00
_cell_angle_beta 90.00
_cell_angle_gamma 90.00
loop_
_atom_site_label
_atom_site_type_symbol
_atom_site_fract_x
_atom_site_fract_y
_atom_site_fract_z
Tl1 Tl 0.0000 0.0000 0.0000
Tl2 Tl 0.2500 0.2500 0.2500
Fe1 Fe 0.0000 0.0000 0.5000
P1 P 0.2500 0.2500 0.7500
```

Computed properties:
The value obtained for the total energy is -3.922 eV per atom. For the excess energy over the best structure of this formula in the dataset, the calculation gives 2.511 eV per formula unit. The calculation puts the formation energy at 0.729 eV per atom. For the density of states at the Fermi level, the calculation gives 14.76 states/eV/cell. Its crystal system is cubic.

(2)
Entry from Alexandria: crystalline Tl2FeP at its relaxed geometry (PBE).

Structure (CIF):
```
data_Tl2FeP
_space_group_name_H-M_alt 'I m m 2'
_space_group_IT_number 44
_cell_length_a 3.1641
_cell_length_b 4.4722
_cell_length_c 12.9639
_cell_angle_alpha 90.00
_cell_angle_beta 90.00
_cell_angle_gamma 90.00
loop_
_space_group_symop_operation_xyz
'x,y,z'
'-x,-y,z'
'-x,y,z'
'x,-y,z'
'x+1/2,y+1/2,z+1/2'
'-x+1/2,-y+1/2,z+1/2'
'-x+1/2,y+1/2,z+1/2'
'x+1/2,-y+1/2,z+1/2'
loop_
_atom_site_label
_atom_site_type_symbol
_atom_site_fract_x
_atom_site_fract_y
_atom_site_fract_z
Tl1 Tl 0.0000 0.0000 0.0000
Tl2 Tl 0.0000 0.5000 0.2069
Fe1 Fe 0.0000 0.5000 0.7643
P1 P 0.0000 0.0000 0.3828
```

Computed properties:
The value obtained for the total energy is -4.375 eV per atom. For the excess energy over the best structure of this formula in the dataset, the calculation gives 0.700 eV per formula unit. The calculation puts the formation energy at 0.276 eV per atom. For the density of states at the Fermi level, the calculation gives 6.32 states/eV/cell. Its crystal system is orthorhombic.